No. 1
## ZrGaCoPd (GGA-PBE)

Data for an optimized crystal structure of ZrGaCoPd.

Lattice parameters (Å, degrees): 4.4455 4.4455 4.4455 60.00 60.00 60.00
With the nearest neighbours (Å) after each atom.
Positions (direct):
Zr  0.0000  0.0000  0.0000  4 Co 2.72, 4 Pd 2.72
Ga  0.5000  0.5000  0.5000  4 Co 2.72, 4 Pd 2.72
Co  0.7500  0.7500  0.7500  4 Zr 2.72, 4 Ga 2.72
Pd  0.2500  0.2500  0.2500  4 Zr 2.72, 4 Ga 2.72

Summary:
Excess energy over the best structure of this formula in the dataset   0 meV/atom
SG   F-43m
Calculated total energy   -6.470 eV/atom



No. 2
## Al6CuAg (GGA-PBE)

Data for an optimized crystal structure of Al6CuAg.

Lattice parameters (Å, degrees): 5.6291 5.6291 4.7323 90.00 90.00 120.00
With the nearest neighbours (Å) after each atom.
Positions (direct):
Al  0.0042  0.5021  0.0000  8 Al 2.78-2.87, 2 Cu 2.81, 2 Ag 2.88
Al  0.1642  0.3283  0.5000  8 Al 2.77-2.87, 2 Ag 2.81, 2 Cu 2.86
Al  0.1642  0.8358  0.5000  8 Al 2.77-2.87, 2 Ag 2.81, 2 Cu 2.86
Al  0.4979  0.5021  0.0000  8 Al 2.78-2.87, 2 Cu 2.81, 2 Ag 2.88
Al  0.4979  0.9958  0.0000  8 Al 2.78-2.87, 2 Cu 2.81, 2 Ag 2.88
Al  0.6717  0.8358  0.5000  8 Al 2.77-2.87, 2 Ag 2.81, 2 Cu 2.86
Cu  0.0000  0.0000  0.0000  12 Al 2.81-2.86
Ag  0.6667  0.3333  0.5000  12 Al 2.81-2.88

Summary:
SG   P-6m2
Calculated total energy   -3.559 eV/atom



No. 3
## PmSmBi2 (GGA-PBE)

Data for an optimized crystal structure of PmSmBi2.

Lattice parameters (Å, degrees): 4.5397 4.5397 6.4196 90.00 90.00 90.00
With the nearest neighbours (Å) after each atom.
Positions (direct):
Pm  0.0000  0.0000  0.0000  6 Bi 3.21
Sm  0.5000  0.5000  0.5000  6 Bi 3.21
Bi  0.0000  0.0000  0.5000  2 Pm 3.21, 4 Sm 3.21
Bi  0.5000  0.5000  0.0000  2 Sm 3.21, 4 Pm 3.21

Summary:
SG   P4/mmm
Calculated total energy   -5.338 eV/atom



No. 4
## HfB4W (GGA-PBE)

Data for an optimized crystal structure of HfB4W.

Lattice parameters (Å, degrees): 4.5663 4.5663 4.5663 140.19 108.30 85.28
With the nearest neighbours (Å) after each atom.
Positions (direct):
Hf  0.0000  0.0000  0.0000  12 B 2.45-2.46
B  0.0835  0.7493  0.3342  3 B 1.77-1.80
B  0.4151  0.7493  0.6658  3 B 1.77-1.80
B  0.5849  0.2507  0.3342  3 B 1.77-1.80
B  0.9165  0.2507  0.6658  3 B 1.77-1.80
W  0.5000  0.5000  0.0000  12 B 2.45-2.46

Summary:
Excess energy over the best structure of this formula in the dataset   0 meV/atom
SG   Immm
Calculated total energy   -8.849 eV/atom



No. 5
## Cu2Ag (GGA-PBE)

Data for an optimized crystal structure of Cu2Ag.

Lattice parameters (Å, degrees): 4.6764 4.6764 8.0789 106.38 106.38 48.15
With the nearest neighbours (Å) after each atom.
Positions (direct):
Cu  0.0000  0.0000  0.0000  8 Cu 2.63-2.71, 4 Ag 2.65-2.68
Cu  0.0012  0.0012  0.3261  6 Cu 2.63-2.78, 6 Ag 2.65-2.80
Cu  0.3350  0.3350  0.7809  5 Ag 2.61-2.72, 7 Cu 2.69-2.73
Cu  0.6593  0.6593  0.2169  7 Cu 2.64-2.78, 5 Ag 2.67-2.73
Cu  0.6647  0.6647  0.5542  6 Ag 2.68-2.77, 6 Cu 2.70-2.73
Cu  0.6660  0.6660  0.8885  4 Ag 2.65-2.66, 8 Cu 2.67-2.71
Ag  0.0063  0.0063  0.6740  10 Cu 2.65-2.80, 2 Ag 2.78
Ag  0.3270  0.3270  0.4413  9 Cu 2.65-2.75, 3 Ag 2.75-2.78
Ag  0.3304  0.3304  0.1022  11 Cu 2.61-2.73, 1 Ag 2.75

Summary:
Excess energy over the best structure of this formula in the dataset   49 meV/atom
SG   Cm
Formation energy   0.094 eV/atom
Calculated total energy   -3.325 eV/atom



No. 6
## Rb2Zr4O7 (GGA-PBE)

Data for an optimized crystal structure of Rb2Zr4O7.

Lattice parameters (Å, degrees): 5.4664 5.4664 7.4779 90.00 90.00 120.00
With the nearest neighbours (Å) after each atom.
Positions (direct):
Rb  0.3333  0.6667  0.0000  9 O 2.86-3.16, 3 Rb 3.16
Rb  0.6667  0.3333  0.0000  9 O 2.86-3.16, 3 Rb 3.16
Zr  0.0000  0.0000  0.2845  4 O 2.07-2.13
Zr  0.0000  0.0000  0.7155  4 O 2.07-2.13
Zr  0.3333  0.6667  0.5000  6 O 2.25
Zr  0.6667  0.3333  0.5000  6 O 2.25
O  0.0000  0.0000  0.0000  2 Zr 2.13
O  0.0000  0.3783  0.6942  3 Zr 2.07-2.25
O  0.0000  0.6217  0.3058  3 Zr 2.07-2.25
O  0.3783  0.0000  0.6942  3 Zr 2.07-2.25
O  0.3783  0.3783  0.3058  3 Zr 2.07-2.25
O  0.6217  0.0000  0.3058  3 Zr 2.07-2.25
O  0.6217  0.6217  0.6942  3 Zr 2.07-2.25

Summary:
SG   P-31m
Calculated total energy   -7.924 eV/atom



No. 7
## BaSr3Cu4 (GGA-PBE)

Data for an optimized crystal structure of BaSr3Cu4.

Lattice parameters (Å, degrees): 4.3463 4.3463 15.4275 90.00 90.00 120.00
With the nearest neighbours (Å) after each atom.
Positions (direct):
Ba  0.0000  0.0000  0.0000  6 Cu 3.30-3.31
Sr  0.0000  0.0000  0.7328  6 Cu 3.19
Sr  0.6667  0.3333  0.2373  6 Cu 3.19
Sr  0.6667  0.3333  0.4944  6 Cu 3.21
Cu  0.0000  0.0000  0.3648  3 Cu 2.51
Cu  0.3333  0.6667  0.3649  3 Cu 2.51
Cu  0.3333  0.6667  0.8606  3 Cu 2.51
Cu  0.6667  0.3333  0.8606  3 Cu 2.51

Summary:
SG   P3m1
Calculated total energy   -2.826 eV/atom



No. 8
## Li2Sc2NiPtPb2 (GGA-PBE)

Data for an optimized crystal structure of Li2Sc2NiPtPb2.

Lattice parameters (Å, degrees): 4.5972 4.5972 6.5525 90.00 90.00 90.00
With the nearest neighbours (Å) after each atom.
Positions (direct):
Li  0.0000  0.0000  0.0000  4 Sc 2.83, 4 Pb 2.88
Li  0.5000  0.5000  0.5000  4 Pb 2.77, 4 Sc 2.82
Sc  0.0000  0.5000  0.7490  4 Li 2.82-2.83, 2 Ni 2.82, 2 Pt 2.83
Sc  0.5000  0.0000  0.2510  4 Li 2.82-2.83, 2 Ni 2.82, 2 Pt 2.83
Ni  0.0000  0.0000  0.5000  4 Pb 2.77, 4 Sc 2.82
Pt  0.5000  0.5000  0.0000  4 Sc 2.83, 4 Pb 2.88
Pb  0.0000  0.5000  0.2644  4 Li 2.77-2.88, 2 Ni 2.77, 2 Pt 2.88
Pb  0.5000  0.0000  0.7356  4 Li 2.77-2.88, 2 Ni 2.77, 2 Pt 2.88

Summary:
SG   P-4m2
Calculated total energy   -4.993 eV/atom



No. 9
## LiNb2Tc (GGA-PBE)

Data for an optimized crystal structure of LiNb2Tc.

Lattice parameters (Å, degrees): 4.4744 4.4744 4.4744 60.00 60.00 60.00
With the nearest neighbours (Å) after each atom.
Positions (direct):
Li  0.0000  0.0000  0.0000  4 Nb 2.74, 4 Tc 2.74
Nb  0.5000  0.5000  0.5000  4 Nb 2.74, 4 Tc 2.74
Nb  0.7500  0.7500  0.7500  4 Nb 2.74, 4 Li 2.74
Tc  0.2500  0.2500  0.2500  4 Nb 2.74, 4 Li 2.74

Summary:
SG   F-43m
Calculated total energy   -7.842 eV/atom



No. 10
## HfCdAsO (GGA-PBE)

Data for an optimized crystal structure of HfCdAsO.

Lattice parameters (Å, degrees): 4.5067 4.5067 7.8331 90.00 90.00 90.00
With the nearest neighbours (Å) after each atom.
Positions (direct):
Hf  0.2500  0.7500  0.0000  4 As 2.62
Hf  0.7500  0.2500  0.0000  4 As 2.62
Cd  0.2500  0.2500  0.4370  4 O 2.31
Cd  0.7500  0.7500  0.5630  4 O 2.31
As  0.2500  0.2500  0.8294  4 Hf 2.62
As  0.7500  0.7500  0.1706  4 Hf 2.62
O  0.2500  0.7500  0.5000  4 Cd 2.31
O  0.7500  0.2500  0.5000  4 Cd 2.31

Summary:
Excess energy over the best structure of this formula in the dataset   696 meV/atom
SG   P4/nmm
Calculated total energy   -5.645 eV/atom



No. 11
## TaSbSe4 (GGA-PBE)

Data for an optimized crystal structure of TaSbSe4.

Lattice parameters (Å, degrees): 19.1427 3.5673 3.5673 60.00 90.00 90.00
With the nearest neighbours (Å) after each atom.
Positions (direct):
Ta  0.0000  0.0000  0.0000  6 Se 2.64
Sb  0.5000  0.4999  0.4999  6 Se 2.81
Se  0.0863  0.3333  0.3333  3 Ta 2.64
Se  0.4005  0.8332  0.8332  3 Sb 2.81
Se  0.5995  0.8332  0.8332  3 Sb 2.81
Se  0.9137  0.3333  0.3333  3 Ta 2.64

Summary:
Excess energy over the best structure of this formula in the dataset   49 meV/atom
SG   Amm2
Calculated total energy   -5.333 eV/atom



No. 12
## TmNbSnC (GGA-PBE)

Data for an optimized crystal structure of TmNbSnC.

Lattice parameters (Å, degrees): 3.4238 3.4238 14.6317 90.00 90.00 120.00
With the nearest neighbours (Å) after each atom.
Positions (direct):
Tm  0.3333  0.6667  0.4092  3 C 2.38
Tm  0.6667  0.3333  0.5908  3 C 2.38
Nb  0.3333  0.6667  0.0729  3 C 2.25
Nb  0.6667  0.3333  0.9271  3 C 2.25
Sn  0.3333  0.6667  0.7694  3 Nb 3.04, 3 Tm 3.28
Sn  0.6667  0.3333  0.2306  3 Nb 3.04, 3 Tm 3.28
C  0.0000  0.0000  0.0000  6 Nb 2.25
C  0.0000  0.0000  0.5000  6 Tm 2.38

Summary:
Excess energy over the best structure of this formula in the dataset   50 meV/atom
SG   P-3m1
Calculated total energy   -7.420 eV/atom



No. 13
## Y2Ge4Mo3 (GGA-PBE)

Data for an optimized crystal structure of Y2Ge4Mo3.

Lattice parameters (Å, degrees): 7.0011 7.0611 6.9212 90.00 109.35 90.00
With the nearest neighbours (Å) after each atom.
Positions (direct):
Y  0.1902  0.1709  0.0565  7 Ge 2.86-3.03
Y  0.1902  0.3291  0.5565  7 Ge 2.86-3.03
Y  0.8098  0.6709  0.4435  7 Ge 2.86-3.03
Y  0.8098  0.8291  0.9435  7 Ge 2.86-3.03
Ge  0.0918  0.5464  0.8596  4 Mo 2.59-2.72, 1 Ge 2.74, 1 Y 2.86
Ge  0.0918  0.9536  0.3596  4 Mo 2.59-2.72, 1 Ge 2.74, 1 Y 2.86
Ge  0.4963  0.6371  0.6327  5 Mo 2.57-2.73, 1 Ge 2.68, 1 Y 2.86
Ge  0.4963  0.8629  0.1327  5 Mo 2.57-2.73, 1 Ge 2.68, 1 Y 2.86
Ge  0.5037  0.1371  0.8673  5 Mo 2.57-2.73, 1 Ge 2.68, 1 Y 2.86
Ge  0.5037  0.3629  0.3673  5 Mo 2.57-2.73, 1 Ge 2.68, 1 Y 2.86
Ge  0.9082  0.0464  0.6404  4 Mo 2.59-2.72, 1 Ge 2.74, 1 Y 2.86
Ge  0.9082  0.4536  0.1404  4 Mo 2.59-2.72, 1 Ge 2.74, 1 Y 2.86
Mo  0.2492  0.6587  0.2480  6 Ge 2.57-2.69
Mo  0.2492  0.8413  0.7480  6 Ge 2.57-2.69
Mo  0.5000  0.0000  0.5000  6 Ge 2.71-2.73
Mo  0.5000  0.5000  0.0000  6 Ge 2.71-2.73
Mo  0.7508  0.1587  0.2520  6 Ge 2.57-2.69
Mo  0.7508  0.3413  0.7520  6 Ge 2.57-2.69

Summary:
SG   P2_1/c
Calculated total energy   -7.634 eV/atom